1.
Er3CuPd: optimized geometry, PBE-GGA.

```
10
Lattice="1.086 4.387 1.896 0.295 -2.001 4.461 9.892 0.479 -0.439" Properties=species:S:1:pos:R:3 pbc="T T T"
Er 5.251 -0.937 3.266
Cu 7.506 0.943 3.960
Er 8.988 1.644 1.488
Pd 7.858 4.145 2.685
Er 2.300 2.871 2.480
Er 9.677 2.838 4.667
Er 1.903 -0.323 3.763
Cu 3.385 0.379 1.291
Er 5.639 2.259 1.985
Pd 4.119 1.564 4.463
```

Calculated values
The energy above the most stable polymorph in this dataset comes out at 0.0 meV/atom. The magnetization comes out at 0.00 μB per atom.

2.
Y2Al: optimized geometry, PBE-GGA.

```
3
Lattice="-2.022 1.981 4.207 -0.482 -4.957 -0.954 3.064 -0.639 1.773" Properties=species:S:1:pos:R:3 pbc="T T T"
Y 1.213 -3.105 2.045
Al 0.000 0.000 0.000
Y -0.654 -0.510 2.982
```

Calculated values
The magnetization comes out at 0.00 μB per atom.

3.
Ba8TlH2: optimized geometry, PBE-GGA.

```
11
Lattice="-2.784 -4.544 -5.335 7.817 -0.348 -5.184 6.379 -6.802 1.063" Properties=species:S:1:pos:R:3 pbc="T T T"
Tl 0.000 0.000 0.000
Ba 7.391 -7.246 -2.233
Ba 7.257 -8.199 -6.801
Ba 0.562 -4.561 -4.583
Ba 8.162 -3.784 -5.584
H 9.856 -8.742 -6.765
Ba 3.250 -7.910 -3.873
Ba 10.850 -7.133 -4.873
Ba 4.021 -4.448 -7.223
Ba 4.155 -3.495 -2.655
H 1.556 -2.951 -2.691
```

Calculated values
The magnetization comes out at 0.16 μB per atom.

| no. | total DFT energy (no corrections) (eV per cell) |
| --- | --- |
| 1 | -50.56 |
| 2 | -17.17 |
| 3 | -26.09 |